a | BaTl2Mo | PBE | relaxed

## Properties
- Mass density: 8.6 g cm⁻³

Cell: 5.1862 5.1862 9.1700 Å, 90.00 90.00 90.00°
Space group I-4m2 (No. 119)
Asymmetric unit:
Ba1 0.0000 0.0000 0.0000
Tl1 0.0000 0.0000 0.5000
Tl2 0.0000 0.5000 0.2500
Mo1 0.0000 0.5000 0.7500

***

b | BaTl2Mo | PBE | relaxed

## Properties
- Mass density: 9.7 g cm⁻³

Cell: 3.6530 3.6530 8.2032 Å, 90.00 90.00 90.00°
Space group P4/mmm (No. 123)
Asymmetric unit:
Ba1 0.0000 0.0000 0.0000
Tl1 0.5000 0.5000 0.3057
Mo1 0.0000 0.0000 0.5000

***

c | BaTl2Mo | PBE | relaxed

## Properties
- Mass density: 9.1 g cm⁻³

Cell: 7.7675 7.7675 7.7675 Å, 90.00 90.00 90.00°
Space group Fm-3m (No. 225)
Asymmetric unit:
Ba1 0.0000 0.0000 0.0000
Tl1 0.2500 0.2500 0.2500
Mo1 0.0000 0.0000 0.5000

***

Energies relative to the most stable structure, in meV per atom: a 282; b 0; c 136.

***

a | BaVMo3 | PBE | relaxed

## Properties
- Mass density: 6.6 g cm⁻³

Cell: 4.9355 4.9355 4.9355 Å, 90.00 90.00 90.00°
Space group Pm-3m (No. 221)
Asymmetric unit:
Ba1 0.0000 0.0000 0.0000
V1 0.5000 0.5000 0.5000
Mo1 0.0000 0.0000 0.5000

***

b | BaVMo3 | PBE | relaxed

## Properties
- Mass density: 7.2 g cm⁻³

Cell: 4.7845 4.7845 4.7845 Å, 90.00 90.00 90.00°
Space group Pm-3m (No. 221)
Asymmetric unit:
Ba1 0.0000 0.0000 0.0000
V1 0.5000 0.5000 0.5000
Mo1 0.0000 0.5000 0.5000

***

Energies relative to the most stable structure, in meV per atom: a 1849; b 0.

***

a | BaVMo2 | PBE | relaxed

## Properties
- Mass density: 5.8 g cm⁻³

Cell: 5.1025 5.1025 16.6690 Å, 90.00 90.00 90.00°
Space group I4_1/amd (No. 141, origin choice 2)
Asymmetric unit:
Ba1 0.0000 0.2500 0.3750
V1 0.0000 0.2500 0.8750
Mo1 0.0000 0.0000 0.0000

***

b | BaVMo2 | PBE | relaxed

## Properties
- Mass density: 8.3 g cm⁻³

Cell: 6.7152 6.7152 6.7152 Å, 90.00 90.00 90.00°
Space group Fm-3m (No. 225)
Asymmetric unit:
Ba1 0.0000 0.0000 0.0000
V1 0.0000 0.0000 0.5000
Mo1 0.2500 0.2500 0.2500

***

Energies relative to the most stable structure, in meV per atom: a 30; b 0.

***

a | BaMoW | PBE | relaxed

## Properties
- Mass density: 8.0 g cm⁻³

Cell: 4.2070 4.2070 5.6525 Å, 90.00 90.00 120.00°
Space group P-6m2 (No. 187)
Asymmetric unit:
Ba1 0.0000 0.0000 0.0000
Mo1 0.3333 0.6667 0.5000
W1 0.6667 0.3333 0.5000

***

b | BaMoW | PBE | relaxed

## Properties
- Mass density: 10.2 g cm⁻³

Cell: 3.3568 5.1428 15.7530 Å, 90.00 90.00 90.00°
Space group Fmm2 (No. 42)
Asymmetric unit:
Ba1 0.0000 0.0000 0.0000
Mo1 0.0000 0.0000 0.3090
W1 0.0000 0.0000 0.6923

***

c | BaMoW | PBE | relaxed

## Properties
- Mass density: 9.5 g cm⁻³

Cell: 3.3123 3.3123 7.6875 Å, 90.00 90.00 120.00°
Space group P3m1 (No. 156)
Asymmetric unit:
Ba1 0.0000 0.0000 0.0000
Mo1 0.6667 0.3333 0.3938
W1 0.3333 0.6667 0.6051

***

Energies relative to the most stable structure, in meV per atom: a 63; b 0; c 57.

***

a | BaMoW | PBE | relaxed

## Properties
- Mass density: 8.9 g cm⁻³

Cell: 6.7804 6.7804 6.7804 Å, 90.00 90.00 90.00°
Space group F-43m (No. 216)
Asymmetric unit:
Ba1 0.0000 0.0000 0.0000
Mo1 0.2500 0.2500 0.2500
W1 0.2500 0.2500 0.7500

***

b | BaMoW | PBE | relaxed

## Properties
- Mass density: 9.3 g cm⁻³

Cell: 3.3719 3.3719 13.1621 Å, 90.00 90.00 90.00°
Space group I4mm (No. 107)
Asymmetric unit:
Ba1 0.0000 0.0000 0.0000
Mo1 0.0000 0.0000 0.7116
W1 0.0000 0.0000 0.2888

***

Energies relative to the most stable structure, in meV per atom: a 2042; b 0.

***

a | BaMoW3 | PBE | relaxed

## Properties
- Mass density: 11.2 g cm⁻³

Cell: 4.8826 4.8826 4.8826 Å, 90.00 90.00 90.00°
Space group Pm-3m (No. 221)
Asymmetric unit:
Ba1 0.0000 0.0000 0.0000
Mo1 0.5000 0.5000 0.5000
W1 0.0000 0.0000 0.5000

***

b | BaMoW3 | PBE | relaxed

## Properties
- Mass density: 10.9 g cm⁻³

Cell: 4.9322 4.9322 4.9322 Å, 90.00 90.00 90.00°
Space group Pm-3m (No. 221)
Asymmetric unit:
Ba1 0.0000 0.0000 0.0000
Mo1 0.5000 0.5000 0.5000
W1 0.0000 0.5000 0.5000

***

Energies relative to the most stable structure, in meV per atom: a 2179; b 0.

***

a | BaMo2W | PBE | relaxed

## Properties
- Mass density: 9.1 g cm⁻³

Cell: 3.4213 3.4213 7.9576 Å, 90.00 90.00 90.00°
Space group P4mm (No. 99)
Asymmetric unit:
Ba1 0.0000 0.0000 0.0000
Mo1 0.0000 0.0000 0.5013
Mo2 0.5000 0.5000 0.3483
W1 0.5000 0.5000 0.6540

***

b | BaMo2W | PBE | relaxed

## Properties
- Mass density: 11.0 g cm⁻³

Cell: 6.7688 6.7688 6.7688 Å, 90.00 90.00 90.00°
Space group Fm-3m (No. 225)
Asymmetric unit:
Ba1 0.0000 0.0000 0.0000
Mo1 0.2500 0.2500 0.2500
W1 0.0000 0.0000 0.5000

***

Energies relative to the most stable structure, in meV per atom: a 0; b 474.

***

a | BaMo2W | PBE | relaxed

## Properties
- Mass density: 11.1 g cm⁻³

Cell: 4.8587 4.8587 3.2436 Å, 90.00 90.00 90.00°
Space group P4/mmm (No. 123)
Asymmetric unit:
Ba1 0.0000 0.0000 0.0000
Mo1 0.0000 0.5000 0.5000
W1 0.5000 0.5000 0.0000

***

b | BaMo2W | PBE | relaxed

## Properties
- Mass density: 8.6 g cm⁻³

Cell: 9.6923 3.2994 6.4039 Å, 90.00 104.18 90.00°
Space group Cm (No. 8)
Asymmetric unit:
Ba1 0.0000 0.0000 0.0000
Mo1 0.0000 0.5000 0.4984
Mo2 0.2119 0.0000 0.6223
W1 0.2892 0.5000 0.3779

***

c | BaMo2W | PBE | relaxed

## Properties
- Mass density: 9.0 g cm⁻³

Cell: 3.0716 4.1761 7.4696 Å, 90.00 99.60 90.00°
Space group P2/m (No. 10)
Asymmetric unit:
Ba1 0.0000 0.0000 0.0000
Mo1 0.1999 0.5000 0.6507
W1 0.5000 0.0000 0.5000

***

d | BaMo2W | PBE | relaxed

## Properties
- Mass density: 9.7 g cm⁻³

Cell: 2.9993 5.7348 10.2169 Å, 90.00 90.00 90.00°
Space group Immm (No. 71)
Asymmetric unit:
Ba1 0.0000 0.0000 0.0000
Mo1 0.0000 0.5000 0.2072
W1 0.0000 0.0000 0.5000

***

Energies relative to the most stable structure, in meV per atom: a 566; b 129; c 0; d 476.

***

a | Ba2Mo2W | PBE | relaxed

## Properties
- Mass density: 7.7 g cm⁻³

Cell: 3.4930 3.4930 23.0210 Å, 90.00 90.00 90.00°
Space group I4/mmm (No. 139)
Asymmetric unit:
Ba1 0.0000 0.0000 0.1060
Mo1 0.0000 0.5000 0.2500
W1 0.0000 0.0000 0.5000

***

b | Ba2Mo2W | PBE | relaxed

## Properties
- Mass density: 8.6 g cm⁻³

Cell: 9.2723 9.2723 2.9052 Å, 90.00 90.00 90.00°
Space group P4/mbm (No. 127)
Asymmetric unit:
Ba1 0.1301 0.3699 0.0000
Mo1 0.1797 0.6797 0.5000
W1 0.0000 0.0000 0.0000

***

Energies relative to the most stable structure, in meV per atom: a 0; b 839.

***

a | Ba2MoW | PBE | relaxed

## Properties
- Mass density: 6.9 g cm⁻³

Cell: 3.6341 3.7927 19.3997 Å, 90.00 90.00 90.00°
Space group Immm (No. 71)
Asymmetric unit:
Ba1 0.0000 0.0000 0.1467
Mo1 0.0000 0.5000 0.5000
W1 0.0000 0.5000 0.0000

***

b | Ba2MoW | PBE | relaxed

## Properties
- Mass density: 9.1 g cm⁻³

Cell: 3.1090 3.1090 36.3926 Å, 90.00 90.00 120.00°
Space group R-3m (No. 166, hexagonal axes)
Asymmetric unit:
Ba1 0.0000 0.0000 0.2500
Mo1 0.0000 0.0000 0.0000
W1 0.0000 0.0000 0.5000

***

c | Ba2MoW | PBE | relaxed

## Properties
- Mass density: 8.9 g cm⁻³

Cell: 4.2569 4.2646 11.3772 Å, 90.00 90.00 90.00°
Space group Cmmm (No. 65)
Asymmetric unit:
Ba1 0.0000 0.0000 0.2503
Mo1 0.0000 0.5000 0.0000
W1 0.0000 0.5000 0.5000

***

d | Ba2MoW | PBE | relaxed

## Properties
- Mass density: 8.9 g cm⁻³

Cell: 6.0214 11.3664 3.0191 Å, 90.00 90.56 90.00°
Space group C2/m (No. 12)
Asymmetric unit:
Ba1 0.2500 0.2500 0.0000
Mo1 0.0000 0.0000 0.5000
W1 0.0000 0.5000 0.5000

***

Energies relative to the most stable structure, in meV per atom: a 0; b 901; c 738; d 748.

***

a | Ba2YMo | PBE | relaxed

## Properties
- Mass density: 5.6 g cm⁻³

Cell: 5.5426 5.5426 8.8889 Å, 90.00 90.00 90.00°
Space group I-4m2 (No. 119)
Asymmetric unit:
Ba1 0.0000 0.0000 0.0000
Ba2 0.0000 0.5000 0.2500
Y1 0.0000 0.0000 0.5000
Mo1 0.0000 0.5000 0.7500

***

b | Ba2YMo | PBE | relaxed

## Properties
- Mass density: 5.0 g cm⁻³

Cell: 3.8312 6.3145 12.5574 Å, 90.00 90.00 90.00°
Space group Imm2 (No. 44)
Asymmetric unit:
Ba1 0.0000 0.0000 0.0000
Ba2 0.0000 0.5000 0.1955
Y1 0.0000 0.5000 0.8083
Mo1 0.0000 0.0000 0.4754

***

c | Ba2YMo | PBE | relaxed

## Properties
- Mass density: 5.2 g cm⁻³

Cell: 3.8193 3.8193 34.9110 Å, 90.00 90.00 120.00°
Space group R3m (No. 160, hexagonal axes)
Asymmetric unit:
Ba1 0.0000 0.0000 0.0000
Ba2 0.0000 0.0000 0.2214
Y1 0.0000 0.0000 0.7649
Mo1 0.0000 0.0000 0.4868

***

Energies relative to the most stable structure, in meV per atom: a 156; b 0; c 18.